This record from Alexandria via LeMat-Bulk describes a geometry-optimized SbMoAs2 structure. The functional is PBE.

Cell: 4.215 6.311 6.311 Å, 30.77 90.00 90.00°
Fractional positions:
Sb: 0.000 0.000 0.000
Mo: 0.500 0.398 0.398
As: 0.000 0.271 0.271
As: 0.500 0.737 0.737

Values from the calculation:
total energy: -23.5 eV for the cell shown

This record from Alexandria via LeMat-Bulk describes a geometry-optimized SbMo2As structure. The functional is PBE.

Cell: 4.571 4.571 3.232 Å, 90.00 90.00 90.00°
Fractional positions:
Sb: 0.000 0.000 0.000
Mo: 0.000 0.500 0.500
Mo: 0.500 0.000 0.500
As: 0.500 0.500 0.000

Values from the calculation:
total energy: -29.8 eV for the cell shown
relative energy among the computed polymorphs: 3.24 kcal/mol of atoms

This record from Alexandria via LeMat-Bulk describes a geometry-optimized Sb3MoAs structure. The functional is PBE.

Cell: 5.298 5.298 5.298 Å, 90.00 90.00 90.00°
Fractional positions:
Sb: 0.000 0.000 0.500
Sb: 0.000 0.500 0.000
Sb: 0.500 0.000 0.000
Mo: 0.500 0.500 0.500
As: 0.000 0.000 0.000

Values from the calculation:
total energy: -21.6 eV for the cell shown
relative energy among the computed polymorphs: 14.37 kcal/mol of atoms

This record from Alexandria via LeMat-Bulk describes a geometry-optimized SbMoAs2 structure. The functional is PBE.

Cell: 4.731 4.731 4.731 Å, 60.00 60.00 60.00°
Fractional positions:
Sb: 0.000 0.000 0.000
Mo: 0.750 0.750 0.750
As: 0.250 0.250 0.250
As: 0.500 0.500 0.500

Values from the calculation:
total energy: -22.1 eV for the cell shown

This record from Alexandria via LeMat-Bulk describes a geometry-optimized SbMo2As structure. The functional is PBE.

Cell: 4.637 4.637 4.637 Å, 60.00 60.00 60.00°
Fractional positions:
Sb: 0.000 0.000 0.000
Mo: 0.250 0.250 0.250
Mo: 0.500 0.500 0.500
As: 0.750 0.750 0.750

Values from the calculation:
total energy: -28.6 eV for the cell shown
relative energy among the computed polymorphs: 9.95 kcal/mol of atoms

This record from Alexandria via LeMat-Bulk describes a geometry-optimized SbMo2As2 structure. The functional is PBE.

Cell: 7.466 7.466 3.181 Å, 90.00 90.00 90.00°
Fractional positions:
Sb: 0.000 0.000 0.000
Sb: 0.500 0.500 0.000
Mo: 0.146 0.354 0.000
Mo: 0.354 0.854 0.000
Mo: 0.646 0.146 0.000
Mo: 0.854 0.646 0.000
As: 0.139 0.639 0.500
As: 0.361 0.139 0.500
As: 0.639 0.861 0.500
As: 0.861 0.361 0.500

Values from the calculation:
total energy: -69.5 eV for the cell shown

This record from Alexandria via LeMat-Bulk describes a geometry-optimized SbMo2As structure. The functional is PBE.

Cell: 5.214 5.214 3.118 Å, 105.29 105.29 108.07°
Fractional positions:
Sb: 0.000 0.000 0.000
Mo: 0.000 0.500 0.500
Mo: 0.500 0.000 0.500
As: 0.500 0.500 0.000

Values from the calculation:
total energy: -28.4 eV for the cell shown
relative energy among the computed polymorphs: 11.11 kcal/mol of atoms

This record from Alexandria via LeMat-Bulk describes a geometry-optimized SbMoAs2 structure. The functional is PBE.

Cell: 2.977 2.977 9.655 Å, 90.00 90.00 107.89°
Fractional positions:
Sb: 0.000 0.000 0.000
Mo: 0.500 0.500 0.241
As: 0.000 0.000 0.432
As: 0.500 0.500 0.730

Values from the calculation:
total energy: -22.6 eV for the cell shown

This record from Alexandria via LeMat-Bulk describes a geometry-optimized SbMo2As structure. The functional is PBE.

Cell: 3.370 3.370 6.260 Å, 90.00 90.00 90.00°
Fractional positions:
Sb: 0.000 0.000 0.000
Mo: 0.000 0.000 0.489
Mo: 0.500 0.500 0.777
As: 0.500 0.500 0.338

Values from the calculation:
total energy: -30.3 eV for the cell shown
relative energy among the computed polymorphs: 0.00 kcal/mol of atoms

This record from Alexandria via LeMat-Bulk describes a geometry-optimized SbMo2As structure. The functional is PBE.

Cell: 4.852 4.852 4.867 Å, 105.38 105.38 39.88°
Fractional positions:
Sb: 0.000 0.000 0.000
Mo: 0.251 0.251 0.805
Mo: 0.494 0.494 0.478
As: 0.762 0.762 0.386

Values from the calculation:
total energy: -30.1 eV for the cell shown
relative energy among the computed polymorphs: 1.23 kcal/mol of atoms

This record from Alexandria via LeMat-Bulk describes a geometry-optimized Sb2Mo2As structure. The functional is PBE.

Cell: 6.902 6.902 6.902 Å, 144.87 144.87 50.52°
Fractional positions:
Sb: 0.250 0.750 0.500
Sb: 0.750 0.250 0.500
Mo: 0.104 0.104 0.000
Mo: 0.896 0.896 0.000
As: 0.500 0.500 0.000

Values from the calculation:
total energy: -31.0 eV for the cell shown
relative energy among the computed polymorphs: 9.19 kcal/mol of atoms

This record from Alexandria via LeMat-Bulk describes a geometry-optimized Sb2MoAs structure. The functional is PBE.

Cell: 4.973 4.973 3.390 Å, 90.00 90.00 102.29°
Fractional positions:
Sb: 0.000 0.500 0.000
Sb: 0.500 0.000 0.000
Mo: 0.000 0.000 0.500
As: 0.500 0.500 0.500

Values from the calculation:
total energy: -21.6 eV for the cell shown